Below is a relaxed SnPPtO crystal, with properties calculated at the PBE level.

Computed properties:
**Crystal system**: triclinic
**Energy above the most stable polymorph in this dataset**: 0.0476 eV per atom
**E_tot**: -5.868 eV per atom
**Formation energy (no corrections)**: -0.765 eV/atom

Unit cell a=3.364 b=3.497 c=7.377 alpha=95.08 beta=90.60 gamma=118.53
Sites, in units of the cell vectors:
Sn  0.000  0.000  0.000
P  0.278  0.575  0.512
Pt  0.630  0.270  0.668
O  0.252  0.534  0.305

=====

Below is a relaxed Li8CdAg2 crystal, with properties calculated at the PBE level.

Computed properties:
**ΔE_f**: -0.160 eV/atom
**Crystal system**: monoclinic
**Energy above the most stable polymorph in this dataset**: 0.0000 eV per atom
**E_tot**: -2.153 eV per atom

Unit cell a=7.657 b=7.657 c=6.411 alpha=103.93 beta=103.93 gamma=31.78
Sites, in units of the cell vectors:
Li  0.049  0.049  0.236
Li  0.142  0.142  0.700
Li  0.316  0.316  0.588
Li  0.399  0.399  0.036
Li  0.601  0.601  0.964
Li  0.684  0.684  0.412
Li  0.858  0.858  0.300
Li  0.951  0.951  0.764
Cd  0.500  0.500  0.500
Ag  0.226  0.226  0.144
Ag  0.774  0.774  0.856

=====

Below is a relaxed PaSnHg crystal, with properties calculated at the PBE level.

Computed properties:
**ΔE_f**: 0.255 eV/atom
**Crystal system**: orthorhombic
**Energy above the most stable polymorph in this dataset**: 0.2819 eV per atom
**E_tot**: -4.345 eV per atom

Unit cell a=11.017 b=8.767 c=7.850 alpha=82.86 beta=52.15 gamma=44.99
Sites, in units of the cell vectors:
Pa  0.081  0.669  0.081
Pa  0.331  0.919  0.331
Pa  0.669  0.081  0.669
Pa  0.919  0.331  0.919
Sn  0.040  0.040  0.210
Sn  0.210  0.210  0.040
Sn  0.790  0.790  0.960
Sn  0.960  0.960  0.790
Hg  0.000  0.500  0.500
Hg  0.500  0.000  0.500
Hg  0.500  0.500  0.000
Hg  0.500  0.500  0.500

=====

| no. | density of states at the Fermi level (states/eV per cell) |
| --- | --- |
| 1 | 1.2 |
| 2 | 4.0 |
| 3 | 20.5 |